# PaBe2CoO8

A relaxed structure of PaBe2CoO8 (PBE+U, Alexandria via LeMat-Bulk). Values from VASP.

Values from the calculation:
symmetry	P-3m1, No. 164
calculated density	5.400	g cm⁻³
DFT total energy	-81.06	eV for the cell shown
DOS(E_F)	0.61	states/eV/atom

Geometry as Quantum ESPRESSO input:
```
&SYSTEM
  ibrav = 0, nat = 12, ntyp = 4
/
ATOMIC_SPECIES
Pa 231.04 Pa.upf
Be 9.01 Be.upf
Co 58.93 Co.upf
O 16.00 O.upf
CELL_PARAMETERS angstrom
5.1181 0.0000 0.0000
-2.5591 4.4324 0.0000
0.0000 0.0000 5.9103
ATOMIC_POSITIONS angstrom
Pa 0.0000 0.0000 0.0000
Be 0.0000 2.9550 1.4377
Be 2.5591 1.4775 4.4726
Co 0.0000 0.0000 2.9551
O 0.0000 1.4044 1.7628
O -1.3428 3.7302 1.7628
O 1.2162 0.7022 4.1475
O 0.0000 2.9550 5.7142
O 2.5591 1.4775 0.1961
O 1.3428 3.7302 1.7628
O 3.9019 0.7022 4.1475
O 2.5591 3.0280 4.1475
```